Here is VGeTe2N after structural relaxation from the Alexandria database. Energies are from PBE.

Summary:
The formation energy from raw total energies is 0.78 eV/atom. Its space group is P4/mmm. Its density of states at the Fermi level is 4.617 states/eV/f.u. As for the energy above the most stable polymorph in this dataset: 639.8 meV per atom.

abc: 5.5907 5.5907 3.5253
angles: 90.00 90.00 90.00
Sites, in units of the cell vectors:
V: 0.0000 0.0000 0.0000
Ge: 0.5000 0.5000 0.5000
Te: 0.0000 0.5000 0.5000
Te: 0.5000 0.0000 0.5000
N: 0.5000 0.5000 0.0000

=====

Here is Ce5InTc after structural relaxation from the Alexandria database. Energies are from PBE.

Summary:
Its space group is P4/mmm. The formation energy comes out at -0.0953 eV/atom. Its density of states at the Fermi level is 18.133 states/eV/f.u.

abc: 4.9461 4.9461 7.6426
angles: 90.00 90.00 90.00
Sites, in units of the cell vectors:
Ce: 0.0000 0.0000 0.0000
Ce: 0.0000 0.5000 0.2992
Ce: 0.0000 0.5000 0.7008
Ce: 0.5000 0.0000 0.2992
Ce: 0.5000 0.0000 0.7008
In: 0.5000 0.5000 0.0000
Tc: 0.0000 0.0000 0.5000

=====

Here is GaP2N after structural relaxation from the Alexandria database. Energies are from PBE.

Summary:
The formation energy from raw total energies is 0.51 eV/atom. Its space group is I-42d. Its density of states at the Fermi level is 0.089 states/eV/f.u. As for the energy above the most stable polymorph in this dataset: 0.0 meV per atom.

abc: 6.4241 6.4241 6.4241
angles: 136.33 136.33 63.47
Sites, in units of the cell vectors:
Ga: 0.0000 0.0000 0.0000
Ga: 0.7500 0.2500 0.5000
P: 0.2009 0.6250 0.0759
P: 0.3750 0.4509 0.5759
P: 0.5491 0.1250 0.9241
P: 0.8750 0.7991 0.4241
N: 0.2500 0.7500 0.5000
N: 0.5000 0.5000 0.0000

=====

Here is LaTe3Pd after structural relaxation from the Alexandria database. Energies are from PBE.

Summary:
The formation energy from raw total energies is 0.29 eV/atom. Its space group is Pm-3m. Its density of states at the Fermi level is 10.234 states/eV/f.u. As for the energy above the most stable polymorph in this dataset: 919.4 meV per atom.

abc: 6.1141 6.1141 6.1141
angles: 90.00 90.00 90.00
Sites, in units of the cell vectors:
La: 0.0000 0.0000 0.0000
Te: 0.0000 0.0000 0.5000
Te: 0.0000 0.5000 0.0000
Te: 0.5000 0.0000 0.0000
Pd: 0.5000 0.5000 0.5000

=====

Here is Ta4TiS8 after structural relaxation from the Alexandria database. Energies are from PBE.

Summary:
The formation energy from raw total energies is -1.01 eV/atom. Its space group is R-3m. Its density of states at the Fermi level is 5.728 states/eV/f.u.

abc: 7.1037 7.1037 7.1037
angles: 57.06 57.06 57.06
Sites, in units of the cell vectors:
Ta: 0.0000 0.0000 0.0000
Ta: 0.0000 0.5000 0.5000
Ta: 0.5000 0.0000 0.5000
Ta: 0.5000 0.5000 0.0000
Ti: 0.5000 0.5000 0.5000
S: 0.2378 0.7495 0.7495
S: 0.2482 0.2482 0.2482
S: 0.2505 0.2505 0.7622
S: 0.2505 0.7622 0.2505
S: 0.7495 0.2378 0.7495
S: 0.7495 0.7495 0.2378
S: 0.7518 0.7518 0.7518
S: 0.7622 0.2505 0.2505

=====

Here is MnRu2Br after structural relaxation from the Alexandria database. Energies are from PBE.

Summary:
The formation energy from raw total energies is 0.98 eV/atom. Its space group is I-42d. Its density of states at the Fermi level is 3.635 states/eV/f.u. As for the energy above the most stable polymorph in this dataset: 565.5 meV per atom.

abc: 6.5489 6.5489 6.5489
angles: 130.11 130.11 73.23
Sites, in units of the cell vectors:
Mn: 0.0000 0.0000 0.0000
Mn: 0.7500 0.2500 0.5000
Ru: 0.0800 0.6250 0.9550
Ru: 0.3750 0.3300 0.4550
Ru: 0.6700 0.1250 0.0450
Ru: 0.8750 0.9200 0.5450
Br: 0.2500 0.7500 0.5000
Br: 0.5000 0.5000 0.0000

=====

Here is Pm2Dy2Tl3 after structural relaxation from the Alexandria database. Energies are from PBE.

Summary:
Its space group is Cmmm. The formation energy comes out at -0.2345 eV/atom. Its density of states at the Fermi level is 6.929 states/eV/f.u. As for the energy above the most stable polymorph in this dataset: 16.0 meV per atom.

abc: 16.3513 16.3513 3.5804
angles: 90.00 90.00 167.51
Sites, in units of the cell vectors:
Pm: 0.0692 0.9308 0.0000
Pm: 0.9308 0.0692 0.0000
Dy: 0.2025 0.7975 0.0000
Dy: 0.7975 0.2025 0.0000
Tl: 0.3614 0.6386 0.5000
Tl: 0.5000 0.5000 0.5000
Tl: 0.6386 0.3614 0.5000

=====

Here is CuTe2RuI after structural relaxation from the Alexandria database. Energies are from PBE.

Summary:
The formation energy from raw total energies is 0.73 eV/atom. Its space group is P4/mmm. Its density of states at the Fermi level is 5.883 states/eV/f.u. As for the energy above the most stable polymorph in this dataset: 0.0 meV per atom.

abc: 5.0984 5.0984 5.7528
angles: 90.00 90.00 90.00
Sites, in units of the cell vectors:
Cu: 0.0000 0.0000 0.0000
Te: 0.0000 0.5000 0.5000
Te: 0.5000 0.0000 0.5000
Ru: 0.5000 0.5000 0.5000
I: 0.5000 0.5000 0.0000

=====

Here is Sm4SiTe2 after structural relaxation from the Alexandria database. Energies are from PBE.

Summary:
The formation energy from raw total energies is -0.94 eV/atom. Its space group is C2/m. Its density of states at the Fermi level is 4.404 states/eV/f.u.

abc: 8.2942 8.2942 7.2024
angles: 115.51 115.51 29.83
Sites, in units of the cell vectors:
Sm: 0.1098 0.1098 0.2735
Sm: 0.3899 0.3899 0.2253
Sm: 0.6101 0.6101 0.7747
Sm: 0.8902 0.8902 0.7265
Si: 0.0000 0.0000 0.5000
Te: 0.2529 0.2529 0.7486
Te: 0.7471 0.7471 0.2514

=====

Here is TlIr2Pt after structural relaxation from the Alexandria database. Energies are from PBE.

Summary:
Its space group is P4/mmm. The formation energy comes out at 0.3833 eV/atom. Its density of states at the Fermi level is 4.135 states/eV/f.u. As for the energy above the most stable polymorph in this dataset: 62.9 meV per atom.

abc: 4.0990 4.0990 3.9430
angles: 90.00 90.00 90.00
Sites, in units of the cell vectors:
Tl: 0.0000 0.0000 0.0000
Ir: 0.0000 0.5000 0.5000
Ir: 0.5000 0.0000 0.5000
Pt: 0.5000 0.5000 0.0000

=====

Here is Ba2AsO5 after structural relaxation from the Alexandria database. Energies are from PBE.

Summary:
The formation energy from raw total energies is -1.97 eV/atom. Its space group is I4mm.

abc: 5.8755 5.8755 5.8755
angles: 118.27 118.27 93.03
Sites, in units of the cell vectors:
Ba: 0.0000 0.5000 0.5000
Ba: 0.5000 0.0000 0.5000
As: 0.2717 0.2717 0.0000
O: 0.0106 0.0106 0.5874
O: 0.0106 0.4233 0.0000
O: 0.4233 0.0106 0.0000
O: 0.4233 0.4233 0.4126
O: 0.4851 0.4851 0.0000

=====

Here is Cs4Hg6Pd after structural relaxation from the Alexandria database. Energies are from PBE.

Summary:
Its space group is P4/mnc. The formation energy comes out at -0.1548 eV/atom. Its density of states at the Fermi level is 9.130 states/eV/f.u.

abc: 10.0332 10.0332 9.7821
angles: 90.00 90.00 90.00
Sites, in units of the cell vectors:
Cs: 0.1519 0.3481 0.2500
Cs: 0.1519 0.3481 0.7500
Cs: 0.3481 0.8481 0.2500
Cs: 0.3481 0.8481 0.7500
Cs: 0.6519 0.1519 0.2500
Cs: 0.6519 0.1519 0.7500
Cs: 0.8481 0.6519 0.2500
Cs: 0.8481 0.6519 0.7500
Hg: 0.0000 0.0000 0.2040
Hg: 0.0000 0.0000 0.7960
Hg: 0.1018 0.7340 0.5000
Hg: 0.2340 0.6018 0.0000
Hg: 0.2660 0.1018 0.5000
Hg: 0.3982 0.2340 0.0000
Hg: 0.5000 0.5000 0.2960
Hg: 0.5000 0.5000 0.7040
Hg: 0.6018 0.7660 0.0000
Hg: 0.7340 0.8982 0.5000
Hg: 0.7660 0.3982 0.0000
Hg: 0.8982 0.2660 0.5000
Pd: 0.0000 0.0000 0.5000
Pd: 0.5000 0.5000 0.0000

=====

Number 1: theoretical density 5.92 g/cm3. Number 2: theoretical density 8.11 g/cm3. Number 3: theoretical density 3.88 g/cm3. Number 4: theoretical density 4.56 g/cm3. Number 5: theoretical density 7.22 g/cm3. Number 6: theoretical density 6.98 g/cm3. Number 7: theoretical density 9.85 g/cm3. Number 8: theoretical density 6.07 g/cm3. Number 9: theoretical density 6.66 g/cm3. Number 10: theoretical density 19.65 g/cm3. Number 11: theoretical density 4.85 g/cm3. Number 12: theoretical density 6.21 g/cm3.